# 1
{
  "formula": "Hg2BHSe",
  "functional": "meta-GGA SCAN",
  "state": "PBEsol geometry",
  "dft_energy_ev_per_atom": -32.74,
  "rho_g_cm3": 10.616,
  "magmom_total_mub_per_fu": 0.00,
  "lattice": [[4.986, 0.000, 0.000], [0.000, 4.986, 0.000], [0.000, 0.000, 3.095]],
  "species": ["Hg", "Hg", "B", "H", "Se"],
  "frac_coords": [[0.000, 0.500, 0.000], [0.500, 0.000, 0.000], [0.000, 0.000, 0.000], [0.000, 0.000, 0.500], [0.500, 0.500, 0.500]]
}

# 2
{
  "formula": "BH3I",
  "functional": "meta-GGA SCAN",
  "state": "PBEsol geometry",
  "dft_energy_ev_per_atom": -9.51,
  "e_above_lowest_polymorph_mev_per_atom": 0,
  "rho_g_cm3": 5.244,
  "magmom_total_mub_per_fu": 0.00,
  "lattice": [[3.546, 0.000, 0.000], [0.000, 3.546, 0.000], [0.000, 0.000, 3.546]],
  "species": ["B", "H", "H", "H", "I"],
  "frac_coords": [[0.000, 0.000, 0.000], [0.000, 0.000, 0.500], [0.000, 0.500, 0.000], [0.500, 0.000, 0.000], [0.500, 0.500, 0.500]]
}

# 3
{
  "formula": "BH3I",
  "functional": "meta-GGA SCAN",
  "state": "PBEsol geometry",
  "dft_energy_ev_per_atom": -9.06,
  "e_above_lowest_polymorph_mev_per_atom": 451,
  "rho_g_cm3": 3.675,
  "magmom_total_mub_per_fu": 0.01,
  "lattice": [[3.992, 0.000, 0.000], [0.000, 3.992, 0.000], [0.000, 0.000, 3.992]],
  "species": ["B", "H", "H", "H", "I"],
  "frac_coords": [[0.000, 0.000, 0.000], [0.000, 0.500, 0.500], [0.500, 0.000, 0.500], [0.500, 0.500, 0.000], [0.500, 0.500, 0.500]]
}